Version A
TaFeAs2 PBE relaxed; magnetic moment = 2.14 μB/f.u.; V = 16.63 Å³ per atom
1.0
4.721 -1.699 0.000
4.721 1.699 0.000
-0.024 0.000 4.147
Ta Fe As
1 1 2
Direct
0.000 0.000 0.000 Ta
0.837 0.837 0.498 Fe
0.288 0.288 0.997 As
0.563 0.563 0.501 As


Version B
TaFeAs2 PBE relaxed; magnetic moment = 1.35 μB/f.u.; V = 15.49 Å³ per atom
1.0
1.505 0.869 7.902
-1.505 0.869 7.902
0.000 -1.737 7.902
Ta Fe As
1 1 2
Direct
0.000 0.000 0.000 Ta
0.500 0.500 0.500 Fe
0.241 0.241 0.241 As
0.759 0.759 0.759 As


Version C
TaFeAs2 PBE relaxed; magnetic moment = 0.97 μB/f.u.; V = 18.94 Å³ per atom
1.0
1.470 0.849 10.115
-1.470 0.849 10.115
0.000 -1.698 10.115
Ta Fe As
1 1 2
Direct
0.000 0.000 0.000 Ta
0.736 0.736 0.736 Fe
0.262 0.262 0.262 As
0.460 0.460 0.460 As


Version D
TaFeAs2 PBE relaxed; magnetic moment = 1.17 μB/f.u.; V = 15.79 Å³ per atom
1.0
-1.675 1.731 5.444
1.675 -1.731 5.444
1.675 1.731 -5.444
Ta Fe As
1 1 2
Direct
0.000 0.000 0.000 Ta
0.760 0.260 0.500 Fe
0.323 0.823 0.500 As
0.594 0.594 0.000 As


On energetic grounds, version D is preferred over the next structure by 40 meV/atom.